{
  "formula": "CuAg",
  "functional": "PBE",
  "state": "relaxed",
  "dft_energy_ev_per_cell": -31.9,
  "lattice_angstrom": [[6.878, 0.000, 0.000], [0.000, 2.828, 0.000], [-1.441, 0.000, 7.693]],
  "species": ["Cu", "Cu", "Cu", "Cu", "Cu", "Ag", "Ag", "Ag", "Ag", "Ag"],
  "frac_coords": [[0.000, 0.000, 0.000], [0.066, 0.500, 0.297], [0.135, 0.000, 0.580], [0.628, 0.000, 0.804], [0.899, 0.500, 0.724], [0.297, 0.500, 0.870], [0.367, 0.000, 0.201], [0.447, 0.500, 0.530], [0.699, 0.500, 0.096], [0.768, 0.000, 0.422]]
}

=====

{
  "formula": "CuAg",
  "functional": "PBE",
  "state": "relaxed",
  "dft_energy_ev_per_cell": -31.8,
  "lattice_angstrom": [[6.734, 0.000, 0.000], [0.000, 2.787, 0.000], [-2.097, 0.000, 7.869]],
  "species": ["Cu", "Cu", "Cu", "Cu", "Cu", "Ag", "Ag", "Ag", "Ag", "Ag"],
  "frac_coords": [[0.000, 0.000, 0.000], [0.106, 0.500, 0.269], [0.396, 0.000, 0.204], [0.518, 0.500, 0.468], [0.802, 0.000, 0.388], [0.211, 0.000, 0.558], [0.294, 0.500, 0.905], [0.600, 0.000, 0.781], [0.705, 0.500, 0.104], [0.908, 0.500, 0.683]]
}

=====

{
  "formula": "CuAg",
  "functional": "PBE",
  "state": "relaxed",
  "dft_energy_ev_per_cell": -31.9,
  "lattice_angstrom": [[5.872, -1.392, 0.000], [5.872, 1.392, 0.000], [-1.620, 0.000, 9.068]],
  "species": ["Cu", "Cu", "Cu", "Cu", "Cu", "Ag", "Ag", "Ag", "Ag", "Ag"],
  "frac_coords": [[0.000, 0.000, 0.000], [0.200, 0.200, 0.635], [0.514, 0.514, 0.552], [0.597, 0.597, 0.819], [0.913, 0.913, 0.725], [0.103, 0.103, 0.348], [0.301, 0.301, 0.909], [0.406, 0.406, 0.211], [0.689, 0.689, 0.119], [0.817, 0.817, 0.444]]
}